The following is a PBE calculation of an optimized crystal structure of Na2MgCd2, from Alexandria.

Results
For the electronic total energy, the calculation gives -1.23 eV/atom. The calculation puts the formation energy from the elements at -0.3 kcal/mol of atoms. The energy relative to the lowest polymorph listed for this composition comes out at 0.035 eV per atom.

abc: 7.7019 7.7019 4.6838
angles: 90.00 90.00 90.00
Space group P4/mbm (No. 127)
Inequivalent atoms, fractional coordinates:
Na 0.1688 0.3312 0.0000 [4 per cell]
Mg 0.0000 0.0000 0.5000 [2 per cell]
Cd 0.1350 0.6350 0.5000 [4 per cell]



The following is a PBE calculation of an optimized crystal structure of Mg2PPdW, from Alexandria.

Results
For the electronic total energy, the calculation gives -4.54 eV/atom. The calculation puts the formation energy from the elements at 18.7 kcal/mol of atoms.

abc: 4.7650 4.7650 4.5391
angles: 90.00 90.00 90.00
Space group P4/mmm (No. 123)
Inequivalent atoms, fractional coordinates:
Mg 0.0000 0.5000 0.0000 [2 per cell]
P 0.0000 0.0000 0.0000 [1 per cell]
Pd 0.0000 0.0000 0.5000 [1 per cell]
W 0.5000 0.5000 0.5000 [1 per cell]



The following is a PBE calculation of an optimized crystal structure of SrCeNbN4, from Alexandria.

Results
For the electronic total energy, the calculation gives -8.13 eV/atom. Its uncorrected formation energy is -846.8 meV/atom.

abc: 5.7400 13.0633 5.7174
angles: 90.00 90.00 90.00
Space group Cmcm (No. 63)
Inequivalent atoms, fractional coordinates:
Sr 0.0000 0.1043 0.2500 [4 per cell]
Ce 0.0000 0.3994 0.2500 [4 per cell]
Nb 0.0000 0.2300 0.7500 [4 per cell]
N 0.0000 0.0843 0.7500 [4 per cell]
N 0.0000 0.4446 0.7500 [4 per cell]
N 0.2500 0.2500 0.0000 [8 per cell]



The following is a PBE calculation of an optimized crystal structure of Tm3Si4Au2, from Alexandria.

Results
For the electronic total energy, the calculation gives -5.38 eV/atom. Its uncorrected formation energy is -748.3 meV/atom.

abc: 10.5797 4.2340 8.1041
angles: 90.00 103.59 90.00
Space group C2/m (No. 12)
Inequivalent atoms, fractional coordinates:
Tm 0.0000 0.0000 0.0000 [2 per cell]
Tm 0.1628 0.5000 0.6743 [4 per cell]
Si 0.0555 0.0000 0.3921 [4 per cell]
Si 0.2255 0.5000 0.0508 [4 per cell]
Au 0.1149 0.5000 0.2815 [4 per cell]